No. 1
The following is a PBE-GGA calculation of a relaxed Pu3Al11 crystal, from Alexandria.

The crystal system is orthorhombic. Its size of the total moment is 1.21 μB/atom. The calculation puts the formation enthalpy at 0 K at -0.25 eV per atom. The calculation puts the total energy at -6.259 eV/atom.

The structure belongs to space group Immm (No. 71); the cell edges are 4.3379, 9.9960 and 12.4723 Å and the angles 90.00°, 90.00° and 90.00°. The distinct sites, in fractional coordinates, are Pu at (0.0000, 0.0000, 0.0000), Pu at (0.0000, 0.0000, 0.3084), Al at (0.0000, 0.1965, 0.5000), Al at (0.0000, 0.2768, 0.1414), Al at (0.0000, 0.3717, 0.3431) and Al at (0.0000, 0.5000, 0.0000).

No. 2
The following is a PBE-GGA calculation of a relaxed Li5Mg5Ag2 crystal, from Alexandria.

The crystal system is monoclinic. Its size of the total moment is 0.00 μB/atom. The calculation puts the formation enthalpy at 0 K at -0.12 eV per atom. The calculation puts the total energy at -2.061 eV/atom.

The structure belongs to space group C2/m (No. 12); the cell edges are 14.1174, 4.7558 and 8.2733 Å and the angles 90.00°, 124.68° and 90.00°. The distinct sites, in fractional coordinates, are Li at (0.0000, 0.0000, 0.0000), Li at (0.0718, 0.0000, 0.3985), Li at (0.2449, 0.0000, 0.2134), Mg at (0.0000, 0.5000, 0.5000), Mg at (0.0946, 0.5000, 0.9241), Mg at (0.1796, 0.5000, 0.3515) and Ag at (0.1574, 0.0000, 0.7988).

No. 3
The following is a PBE-GGA calculation of a relaxed AcTm2Cd crystal, from Alexandria.

Its energy relative to the lowest polymorph listed for this composition is 221 meV per atom. The crystal system is cubic. Its size of the total moment is 0.10 μB/atom. The calculation puts the formation enthalpy at 0 K at 0.12 eV per atom. The calculation puts the total energy at -3.372 eV/atom.

The structure belongs to space group Fm-3m (No. 225); the cell edges are 7.8854, 7.8854 and 7.8854 Å and the angles 90.00°, 90.00° and 90.00°. The distinct sites, in fractional coordinates, are Ac at (0.0000, 0.0000, 0.0000), Tm at (0.2500, 0.2500, 0.2500) and Cd at (0.0000, 0.0000, 0.5000).

No. 4
The following is a PBE-GGA calculation of a relaxed V4CoTc2 crystal, from Alexandria.

The crystal system is tetragonal. Its size of the total moment is 0.00 μB/atom. The calculation puts the formation enthalpy at 0 K at 0.74 eV per atom. The calculation puts the total energy at -8.444 eV/atom.

The structure belongs to space group I4/mmm (No. 139); the cell edges are 4.2263, 4.2263 and 12.3039 Å and the angles 90.00°, 90.00° and 90.00°. The distinct sites, in fractional coordinates, are V at (0.0000, 0.0000, 0.1899), V at (0.0000, 0.5000, 0.0000), Co at (0.0000, 0.0000, 0.0000) and Tc at (0.0000, 0.0000, 0.3753).